Entry 1:
Here is AcMgSe2 after structural relaxation from the Alexandria database. Energies are from PBE-GGA.

Energy relative to the elements, uncorrected = -0.864 eV/atom
Fermi-level density of states = 3.74 states/eV/cell
Space-group type = R-3m
Offset from the most stable computed form = 588 meV/atom

Cell and atoms, written as POSCAR:
```
AcMgSe2
1.0
2.099 1.212 8.538
-2.099 1.212 8.538
0.000 -2.424 8.538
Ac Mg Se
1 1 2
Direct
0.000 0.000 0.000 Ac
0.500 0.500 0.500 Mg
0.113 0.113 0.113 Se
0.887 0.887 0.887 Se
```


Entry 2:
Here is Ac3Sm3MgSe8 after structural relaxation from the Alexandria database. Energies are from PBE-GGA.

Energy relative to the elements, uncorrected = -1.792 eV/atom
Fermi-level density of states = 3.18 states/eV/cell
Space-group type = R-3m

Cell and atoms, written as POSCAR:
```
Ac3Sm3MgSe8
1.0
4.245 2.451 7.131
-4.245 2.451 7.131
0.000 -4.901 7.131
Ac Sm Mg Se
3 3 1 8
Direct
0.000 0.500 0.500 Ac
0.500 0.000 0.500 Ac
0.500 0.500 0.000 Ac
0.000 0.000 0.500 Sm
0.000 0.500 0.000 Sm
0.500 0.000 0.000 Sm
0.500 0.500 0.500 Mg
0.243 0.243 0.243 Se
0.252 0.736 0.736 Se
0.264 0.264 0.748 Se
0.264 0.748 0.264 Se
0.736 0.252 0.736 Se
0.736 0.736 0.252 Se
0.748 0.264 0.264 Se
0.757 0.757 0.757 Se
```


Entry 3:
Here is Sr3Ac3MgSe8 after structural relaxation from the Alexandria database. Energies are from PBE-GGA.

Energy relative to the elements, uncorrected = -1.858 eV/atom
Fermi-level density of states = 4.09 states/eV/cell
Space-group type = R-3m

Cell and atoms, written as POSCAR:
```
Sr3Ac3MgSe8
1.0
4.403 2.542 7.273
-4.403 2.542 7.273
0.000 -5.084 7.273
Sr Ac Mg Se
3 3 1 8
Direct
0.000 0.500 0.500 Sr
0.500 0.000 0.500 Sr
0.500 0.500 0.000 Sr
0.000 0.000 0.500 Ac
0.000 0.500 0.000 Ac
0.500 0.000 0.000 Ac
0.500 0.500 0.500 Mg
0.251 0.251 0.251 Se
0.268 0.731 0.731 Se
0.269 0.269 0.732 Se
0.269 0.732 0.269 Se
0.731 0.268 0.731 Se
0.731 0.731 0.268 Se
0.732 0.269 0.269 Se
0.749 0.749 0.749 Se
```